Record 1
VASP calculation (PBE-GGA) on crystalline YNbCu at its relaxed geometry.

abc: 3.339 4.554 8.116
angles: 90.00 101.52 90.00
Space group P2_1/m (No. 11)
Unique sites:
Y 0.085 0.250 0.158 x2
Nb 0.245 0.750 0.489 x2
Cu 0.385 0.250 0.777 x2

Calculated total energy   -0.253 hartree per atom

---

Record 2
VASP calculation (PBE-GGA) on crystalline YNbCu at its relaxed geometry.

abc: 3.211 4.651 8.427
angles: 103.41 96.61 90.06
Space group P-1 (No. 2)
Unique sites:
Y 0.142 0.368 0.288 x2
Nb 0.394 0.775 0.060 x2
Cu 0.292 0.089 0.611 x2

Calculated total energy   -0.250 hartree per atom

---

Record 3
VASP calculation (PBE-GGA) on crystalline Y2NbCu at its relaxed geometry.

abc: 4.327 4.327 19.847
angles: 90.00 90.00 90.00
Space group I-42d (No. 122)
Unique sites:
Y 0.243 0.250 0.125 x8
Nb 0.000 0.000 0.500 x4
Cu 0.000 0.000 0.000 x4

Calculated total energy   -0.223 hartree per atom

---

For the records above, the corresponding formation energy from the elements values read -0.02; 0.09; 0.71 eV per atom.
For the records above, the corresponding excess energy over the best structure of this formula in the dataset values read 6; 109; 449 meV/atom.